(1)
## PbAuSe (PBE-GGA)

Data for an optimized crystal structure of PbAuSe.

For the density of states at the Fermi level, the calculation gives 1.856 states/eV/cell. The calculation puts the total energy at -3.67 eV per atom. For the volume, the calculation gives 76 Å³ per cell.

It has space group P3m1 (No. 156), with a = 4.2111 Å, b = 4.2111 Å, c = 4.9488 Å, α = 90.00°, β = 90.00° and γ = 120.00°. The distinct sites, in fractional coordinates, are Pb at (0.0000, 0.0000, 0.0000), Au at (0.3333, 0.6667, 0.3314) and Se at (0.6667, 0.3333, 0.5761).

***

(2)
## Rb2CeNdS4 (PBE-GGA)

Data for an optimized crystal structure of Rb2CeNdS4.

For the density of states at the Fermi level, the calculation gives 5.644 states/eV/cell. The calculation puts the total energy at -5.44 eV per atom. For the volume, the calculation gives 239 Å³ per cell.

It has space group P2/m (No. 10), with a = 7.341 Å, b = 4.242 Å, c = 8.071 Å, α = 90.00°, β = 107.64° and γ = 90.00°. The distinct sites, in fractional coordinates, are Rb at (0.000, 0.000, 0.000), Rb at (0.500, 0.500, 0.000), Ce at (0.000, 0.500, 0.500), Nd at (0.500, 0.000, 0.500), S at (0.232, 0.000, 0.696) and S at (0.268, 0.500, 0.303).

***

(3)
## NaPmAsO4 (PBE-GGA)

Data for an optimized crystal structure of NaPmAsO4.

For the density of states at the Fermi level, the calculation gives 9.462 states/eV/cell. The calculation puts the total energy at -6.30 eV per atom. For the volume, the calculation gives 407 Å³ per cell.

It has space group Imma (No. 74), with a = 6.449 Å, b = 6.952 Å, c = 9.085 Å, α = 90.00°, β = 90.00° and γ = 90.00°. The distinct sites, in fractional coordinates, are Na at (0.250, 0.250, 0.250), Pm at (0.000, 0.000, 0.000), As at (0.000, 0.250, 0.626), O at (0.000, 0.037, 0.740) and O at (0.250, 0.250, 0.507).

***

(4)
## Li2ZnAg2 (PBE-GGA)

Data for an optimized crystal structure of Li2ZnAg2.

For the density of states at the Fermi level, the calculation gives 2.428 states/eV/cell. As for the formation energy: -0.08 eV per atom. The calculation puts the total energy at -2.24 eV per atom. For the volume, the calculation gives 158 Å³ per cell.

It has space group P4/mbm (No. 127), with a = 7.180 Å, b = 7.180 Å, c = 3.072 Å, α = 90.00°, β = 90.00° and γ = 90.00°. The distinct sites, in fractional coordinates, are Li at (0.132, 0.368, 0.000), Zn at (0.000, 0.000, 0.000) and Ag at (0.167, 0.667, 0.500).

***

(5)
## KMgFe2 (PBE-GGA)

Data for an optimized crystal structure of KMgFe2.

For the density of states at the Fermi level, the calculation gives 4.615 states/eV/cell. As for the formation energy: 0.62 eV per atom. The calculation puts the total energy at -4.29 eV per atom. For the volume, the calculation gives 185 Å³ per cell.

It has space group Cm (No. 8), with a = 6.391 Å, b = 3.687 Å, c = 8.135 Å, α = 90.00°, β = 104.74° and γ = 90.00°. The distinct sites, in fractional coordinates, are K at (0.000, 0.000, 0.000), Mg at (0.318, 0.500, 0.442), Fe at (0.049, 0.500, 0.642) and Fe at (0.227, 0.000, 0.678).

***

(6)
## Mn2IrRu (PBE-GGA)

Data for an optimized crystal structure of Mn2IrRu.

For the density of states at the Fermi level, the calculation gives 7.133 states/eV/cell. As for the formation energy: 0.17 eV per atom. The calculation puts the total energy at -8.95 eV per atom. For the volume, the calculation gives 111 Å³ per cell.

It has space group Cmmm (No. 65), with a = 2.892 Å, b = 4.515 Å, c = 8.527 Å, α = 90.00°, β = 90.00° and γ = 90.00°. The distinct sites, in fractional coordinates, are Mn at (0.000, 0.000, 0.247), Ir at (0.000, 0.500, 0.500) and Ru at (0.000, 0.500, 0.000).

***

(7)
## AlTcTe (PBE-GGA)

Data for an optimized crystal structure of AlTcTe.

For the density of states at the Fermi level, the calculation gives 3.829 states/eV/cell. The calculation puts the total energy at -5.37 eV per atom. For the volume, the calculation gives 56 Å³ per cell.

It has space group P-6m2 (No. 187), with a = 4.5534 Å, b = 4.5534 Å, c = 3.1146 Å, α = 90.00°, β = 90.00° and γ = 120.00°. The distinct sites, in fractional coordinates, are Al at (0.0000, 0.0000, 0.0000), Tc at (0.3333, 0.6667, 0.5000) and Te at (0.6667, 0.3333, 0.5000).

***

(8)
## BaLi2NpS4 (PBE-GGA)

Data for an optimized crystal structure of BaLi2NpS4.

For the density of states at the Fermi level, the calculation gives 22.756 states/eV/cell. The calculation puts the total energy at -5.77 eV per atom. For the volume, the calculation gives 424 Å³ per cell.

It has space group I-4m2 (No. 119), with a = 5.505 Å, b = 5.505 Å, c = 13.979 Å, α = 90.00°, β = 90.00° and γ = 90.00°. The distinct sites, in fractional coordinates, are Ba at (0.000, 0.000, 0.000), Li at (0.000, 0.000, 0.500), Li at (0.000, 0.500, 0.250), Np at (0.000, 0.500, 0.750), S at (0.000, 0.000, 0.243) and S at (0.000, 0.500, 0.562).